Ba4LiCd | PBE | optimized geometry

Relative energy among the computed polymorphs (meV per atom): 0.0
Total magnetization (μB per formula unit): 0.0
Energy of formation from the pure elements (meV per atom): -96
DFT total energy (eV/f.u.): -11.10

Cell lengths 4.3590, 4.3590, 15.2565 Å; angles 90.00, 90.00, 90.00 degrees
Atoms (fractional coordinates):
1 Ba 0.0000 0.0000 0.1305
2 Ba 0.0000 0.0000 0.8695
3 Ba 0.5000 0.5000 0.3579
4 Ba 0.5000 0.5000 0.6421
5 Li 0.0000 0.0000 0.5000
6 Cd 0.5000 0.5000 0.0000